This record from Alexandria via LeMat-Bulk describes a relaxed structure of Zr2TaAu. The functional is GGA-PBEsol.

## Properties
energy above the lowest structure with this stoichiometry: 97 meV per atom
symmetry: Fm-3m (225)
theoretical density: 12.2 g cm⁻³
crystal system: cubic
formation energy from the elements: -15.9 kJ/mol of atoms

The structure in POSCAR format:
```
Zr2TaAu
1.0
4.754 0.000 0.000
2.377 4.117 0.000
2.377 1.372 3.882
Au Ta Zr
1 1 2
Direct
0.000 0.000 0.000
0.500 0.500 0.500
0.250 0.250 0.250
0.750 0.750 0.750
```